VASP calculation (GGA-PBE) on an optimized crystal structure of CrRh2Au.

## Properties
* E_form: 0.0430 eV per atom

Cell lengths 2.790, 3.529, 6.044 Å; angles 90.00, 90.00, 90.00 degrees
Sites, in units of the cell vectors:
Cr: 0.000 0.000 0.000
Rh: 0.500 0.500 0.219
Rh: 0.500 0.500 0.781
Au: 0.000 0.000 0.500